(1)
VASP calculation (PBEsol) on CaCr2Re after structural relaxation.

a b c (Å): 9.1071 2.9643 5.3767
angles (deg): 90.00 103.20 90.00
Closest atoms and distances in Å follow each position.
Positions (direct):
Ca  0.0000  0.0000  0.0000  2 Ca 2.96, 4 Re 3.07, 6 Cr 3.11-3.24
Ca  0.5000  0.5000  0.0000  2 Ca 2.96, 4 Re 3.07, 6 Cr 3.11-3.24
Cr  0.2167  0.0000  0.6286  2 Cr 2.20, 2 Re 2.44
Cr  0.2833  0.5000  0.3714  2 Cr 2.20, 2 Re 2.44
Cr  0.7167  0.5000  0.6286  2 Cr 2.20, 2 Re 2.44
Cr  0.7833  0.0000  0.3714  2 Cr 2.20, 2 Re 2.44
Re  0.0000  0.5000  0.5000  4 Cr 2.44
Re  0.5000  0.0000  0.5000  4 Cr 2.44

Values from the calculation:
E_form = 651 meV/atom

(2)
VASP calculation (PBEsol) on Nb3S4 after structural relaxation.

a b c (Å): 9.5682 9.5682 3.3492
angles (deg): 90.00 90.00 120.00
Closest atoms and distances in Å follow each position.
Positions (direct):
Nb  0.1155  0.4862  0.2500  6 S 2.45-2.59
Nb  0.3707  0.8845  0.2500  6 S 2.45-2.59
Nb  0.4862  0.3707  0.7500  6 S 2.45-2.59
Nb  0.5138  0.6293  0.2500  6 S 2.45-2.59
Nb  0.6293  0.1155  0.7500  6 S 2.45-2.59
Nb  0.8845  0.5138  0.7500  6 S 2.45-2.59
S  0.0583  0.7126  0.2500  4 Nb 2.45-2.59
S  0.2874  0.3457  0.2500  4 Nb 2.45-2.59
S  0.3333  0.6667  0.7500  6 Nb 2.56
S  0.3457  0.0583  0.7500  4 Nb 2.45-2.59
S  0.6543  0.9417  0.2500  4 Nb 2.45-2.59
S  0.6667  0.3333  0.2500  6 Nb 2.56
S  0.7126  0.6543  0.7500  4 Nb 2.45-2.59
S  0.9417  0.2874  0.7500  4 Nb 2.45-2.59

Values from the calculation:
Energy relative to the elements, uncorrected = -8.383 eV per formula unit

(3)
VASP calculation (PBEsol) on Hf2CoH after structural relaxation.

a b c (Å): 5.8940 5.8940 6.3820
angles (deg): 90.00 90.00 90.00
Closest atoms and distances in Å follow each position.
Positions (direct):
Hf  0.1917  0.2500  0.1250  2 H 2.02
Hf  0.2500  0.6917  0.3750  2 H 2.02
Hf  0.2500  0.8083  0.8750  2 H 2.02
Hf  0.3083  0.2500  0.6250  2 H 2.02
Hf  0.6917  0.7500  0.6250  2 H 2.02
Hf  0.7500  0.1917  0.8750  2 H 2.02
Hf  0.7500  0.3083  0.3750  2 H 2.02
Hf  0.8083  0.7500  0.1250  2 H 2.02
Co  0.0000  0.0000  0.5000  4 Hf 2.47
Co  0.0000  0.5000  0.7500  4 Hf 2.47
Co  0.5000  0.0000  0.2500  4 Hf 2.47
Co  0.5000  0.5000  0.0000  4 Hf 2.47
H  0.0000  0.0000  0.0000  4 Hf 2.02
H  0.0000  0.5000  0.2500  4 Hf 2.02
H  0.5000  0.0000  0.7500  4 Hf 2.02
H  0.5000  0.5000  0.5000  4 Hf 2.02

Number 1: energy -8.3361 eV per atom, M_tot 0.00 μB/f.u., energy above the most stable polymorph in this dataset 1.58 kcal/mol of atoms. Number 2: energy -8.3405 eV per atom, M_tot 0.00 μB/f.u., energy above the most stable polymorph in this dataset 0.00 kcal/mol of atoms. Number 3: energy -8.1953 eV per atom, M_tot 0.00 μB/f.u., energy above the most stable polymorph in this dataset 0.00 kcal/mol of atoms.